(1)
Entry from Alexandria: a geometry-optimized V2CrB structure (PBE-GGA).

Values from the calculation:
DFT total energy: -8.331 eV/atom
energy relative to the elements: 304.0 meV/atom
volume: 11.76 A^3/atom
space group: I-42d

a b c (Å): 5.166 5.166 5.166
angles (deg): 99.68 99.68 131.59
Positions (direct):
V: 0.061 0.625 0.936
V: 0.375 0.311 0.436
V: 0.689 0.125 0.064
V: 0.875 0.939 0.564
Cr: 0.250 0.750 0.500
Cr: 0.500 0.500 0.000
B: 0.000 0.000 0.000
B: 0.750 0.250 0.500

***

(2)
Entry from Alexandria: a geometry-optimized V3Cr3B4 structure (PBE-GGA).

Values from the calculation:
DFT total energy: -8.870 eV/atom
energy relative to the elements: -576.0 meV/atom
volume: 9.39 A^3/atom
space group: Amm2

a b c (Å): 2.927 5.664 5.664
angles (deg): 89.66 90.00 90.00
Positions (direct):
V: 0.000 0.000 0.000
V: 0.500 0.325 0.822
V: 0.500 0.822 0.325
Cr: 0.000 0.147 0.499
Cr: 0.000 0.499 0.147
Cr: 0.000 0.644 0.644
B: 0.500 0.212 0.212
B: 0.500 0.435 0.435
B: 0.500 0.708 0.935
B: 0.500 0.935 0.708

***

(3)
Entry from Alexandria: a geometry-optimized VCrBW2 structure (PBE-GGA).

Values from the calculation:
DFT total energy: -10.009 eV/atom
energy relative to the elements: 256.7 meV/atom
volume: 13.59 A^3/atom
space group: P4/mmm
energy above the most stable polymorph in this dataset: 0.0000 eV per atom

a b c (Å): 4.277 4.277 3.715
angles (deg): 90.00 90.00 90.00
Positions (direct):
V: 0.000 0.000 0.000
Cr: 0.500 0.500 0.000
B: 0.500 0.500 0.500
W: 0.000 0.500 0.500
W: 0.500 0.000 0.500